No. 1
## TmPaAs (PBE)

Data for a relaxed structure of TmPaAs.

The structure belongs to space group P3m1 (No. 156); the cell edges are 4.8078, 4.8078 and 3.6749 Å and the angles 90.00°, 90.00° and 120.00°. Symmetry generates all atoms from Tm at (0.0000, 0.0000, 0.0000), Pa at (0.3333, 0.6667, 0.5001) and As at (0.6667, 0.3333, 0.0022).

For the formation energy, the calculation gives -186.4 meV per atom. As for the density of states at the Fermi level: 6.27 states/eV/cell. The energy relative to the lowest polymorph listed for this composition comes out at 274 meV per atom.

***

No. 2
## Zn3SnTe (PBE)

Data for a relaxed structure of Zn3SnTe.

The structure belongs to space group Pm-3m (No. 221); the cell edges are 5.156, 5.156 and 5.156 Å and the angles 90.00°, 90.00° and 90.00°. Symmetry generates all atoms from Zn at (0.000, 0.000, 0.500), Sn at (0.000, 0.000, 0.000) and Te at (0.500, 0.500, 0.500).

The value obtained for the energy relative to the elements, uncorrected is 0.351 eV per atom. As for the density of states at the Fermi level: 3.18 states/eV/cell. The energy relative to the lowest polymorph listed for this composition comes out at 0 meV per atom.

***

No. 3
## LaDy3Al2 (PBE)

Data for a relaxed structure of LaDy3Al2.

The structure belongs to space group P4/mmm (No. 123); the cell edges are 3.555, 3.555 and 12.772 Å and the angles 90.00°, 90.00° and 90.00°. Symmetry generates all atoms from La at (0.000, 0.000, 0.000), Dy at (0.500, 0.500, 0.209), Dy at (0.500, 0.500, 0.500) and Al at (0.000, 0.000, 0.353).

For the formation energy, the calculation gives -259.3 meV per atom. As for the density of states at the Fermi level: 4.26 states/eV/cell.

***

No. 4
## CsTl2RuPb (PBE)

Data for a relaxed structure of CsTl2RuPb.

The structure belongs to space group P4/mmm (No. 123); the cell edges are 5.417, 5.417 and 5.384 Å and the angles 90.00°, 90.00° and 90.00°. Symmetry generates all atoms from Cs at (0.000, 0.000, 0.000), Tl at (0.000, 0.500, 0.500), Ru at (0.500, 0.500, 0.500) and Pb at (0.500, 0.500, 0.000).

For the formation energy, the calculation gives 108.1 meV per atom. As for the density of states at the Fermi level: 3.91 states/eV/cell.

***

No. 5
## Co2SbSe (PBE)

Data for a relaxed structure of Co2SbSe.

The structure belongs to space group I-4m2 (No. 119); the cell edges are 3.656, 3.656 and 9.185 Å and the angles 90.00°, 90.00° and 90.00°. Symmetry generates all atoms from Co at (0.000, 0.000, 0.000), Co at (0.000, 0.500, 0.250), Sb at (0.000, 0.500, 0.750) and Se at (0.000, 0.000, 0.500).

The value obtained for the energy relative to the elements, uncorrected is 0.385 eV per atom. As for the density of states at the Fermi level: 6.95 states/eV/cell.

***

No. 6
## HfMg2GaS (PBE)

Data for a relaxed structure of HfMg2GaS.

The structure belongs to space group P4/mmm (No. 123); the cell edges are 4.922, 4.922 and 4.915 Å and the angles 90.00°, 90.00° and 90.00°. Symmetry generates all atoms from Hf at (0.000, 0.000, 0.000), Mg at (0.000, 0.500, 0.500), Ga at (0.500, 0.500, 0.500) and S at (0.500, 0.500, 0.000).

The value obtained for the energy relative to the elements, uncorrected is 0.666 eV per atom. As for the density of states at the Fermi level: 4.09 states/eV/cell.

***

No. 7
## Rb2TiAl4 (PBE)

Data for a relaxed structure of Rb2TiAl4.

The structure belongs to space group I4/mmm (No. 139); the cell edges are 5.255, 5.255 and 18.433 Å and the angles 90.00°, 90.00° and 90.00°. Symmetry generates all atoms from Rb at (0.000, 0.000, 0.150), Ti at (0.000, 0.000, 0.500), Al at (0.000, 0.000, 0.366) and Al at (0.000, 0.500, 0.000).

For the formation energy, the calculation gives 551.1 meV per atom. As for the density of states at the Fermi level: 8.59 states/eV/cell.

***

No. 8
## FeNiRh4 (PBE)

Data for a relaxed structure of FeNiRh4.

The structure belongs to space group Pmmm (No. 47); the cell edges are 2.708, 3.707 and 8.018 Å and the angles 90.00°, 90.00° and 90.00°. Symmetry generates all atoms from Fe at (0.000, 0.000, 0.000), Ni at (0.500, 0.500, 0.500), Rh at (0.000, 0.000, 0.337) and Rh at (0.500, 0.500, 0.164).

For the formation energy, the calculation gives 19.4 meV per atom. As for the density of states at the Fermi level: 10.11 states/eV/cell. The energy relative to the lowest polymorph listed for this composition comes out at 0 meV per atom.

***

No. 9
## NaCaPuPb (PBE)

Data for a relaxed structure of NaCaPuPb.

The structure belongs to space group F-43m (No. 216); the cell edges are 7.868, 7.868 and 7.868 Å and the angles 90.00°, 90.00° and 90.00°. Symmetry generates all atoms from Na at (0.000, 0.000, 0.000), Ca at (0.250, 0.250, 0.250), Pu at (0.250, 0.250, 0.750) and Pb at (0.000, 0.000, 0.500).

For the formation energy, the calculation gives -14.4 meV per atom. As for the density of states at the Fermi level: 57.50 states/eV/cell.

***

No. 10
## KLaMo2Cl (PBE)

Data for a relaxed structure of KLaMo2Cl.

The structure belongs to space group P4/mmm (No. 123); the cell edges are 4.605, 4.605 and 5.536 Å and the angles 90.00°, 90.00° and 90.00°. Symmetry generates all atoms from K at (0.000, 0.000, 0.000), La at (0.500, 0.500, 0.000), Mo at (0.000, 0.500, 0.500) and Cl at (0.500, 0.500, 0.500).

The value obtained for the energy relative to the elements, uncorrected is 0.927 eV per atom. As for the density of states at the Fermi level: 6.87 states/eV/cell.

***

No. 11
## MgPIr (PBE)

Data for a relaxed structure of MgPIr.

The structure belongs to space group P3m1 (No. 156); the cell edges are 3.2097, 3.2097 and 5.7241 Å and the angles 90.00°, 90.00° and 120.00°. Symmetry generates all atoms from Mg at (0.0000, 0.0000, 0.0000), P at (0.6667, 0.3333, 0.3841) and Ir at (0.3333, 0.6667, 0.6253).

For the formation energy, the calculation gives -328.5 meV per atom. As for the density of states at the Fermi level: 0.56 states/eV/cell.